The following is a DFT calculation (PBE-GGA) of HfVZn after structural relaxation. Values from VASP.

Summary:
DOS(E_F)	2.82	states/eV/cell
space-group type	I4mm (107)
distance to the lowest polymorph of the same formula	0	meV per atom
calculated volume	50	Å³ per cell
formation enthalpy at 0 K	7.3	kJ/mol of atoms

Cell and atoms, written as Quantum ESPRESSO input:
```
&SYSTEM
  ibrav = 0, nat = 3, ntyp = 3
/
ATOMIC_SPECIES
Zn 65.41 Zn.upf
Hf 178.49 Hf.upf
V 50.94 V.upf
CELL_PARAMETERS angstrom
-1.572 2.273 -0.860
-2.379 -1.232 1.095
2.999 2.174 5.135
ATOMIC_POSITIONS crystal
Zn 0.627 0.627 0.253
Hf 0.949 0.949 0.897
V 0.275 0.275 0.550
```


The following is a DFT calculation (PBE-GGA) of PrSc2Tl2 after structural relaxation. Values from VASP.

Summary:
DOS(E_F)	9.78	states/eV/cell
space-group type	Fddd (70)
calculated volume	305	Å³ per cell
formation enthalpy at 0 K	0.9	kJ/mol of atoms

Cell and atoms, written as Quantum ESPRESSO input:
```
&SYSTEM
  ibrav = 0, nat = 10, ntyp = 3
/
ATOMIC_SPECIES
Pr 140.91 Pr.upf
Sc 44.96 Sc.upf
Tl 204.38 Tl.upf
CELL_PARAMETERS angstrom
6.658 -0.579 -0.004
-2.804 6.067 -0.004
-1.922 -2.736 7.874
ATOMIC_POSITIONS crystal
Pr 0.875 0.625 0.750
Pr 0.125 0.375 0.250
Sc 0.274 0.024 0.548
Sc 0.524 0.774 0.048
Sc 0.726 0.976 0.452
Sc 0.476 0.226 0.952
Tl 0.159 0.341 0.750
Tl 0.409 0.091 0.250
Tl 0.591 0.909 0.750
Tl 0.841 0.659 0.250
```


The following is a DFT calculation (PBE-GGA) of CeNbIr after structural relaxation. Values from VASP.

Summary:
DOS(E_F)	8.77	states/eV/cell
space-group type	Fmmm (69)
calculated volume	124	Å³ per cell
formation enthalpy at 0 K	-11.0	kJ/mol of atoms

Cell and atoms, written as Quantum ESPRESSO input:
```
&SYSTEM
  ibrav = 0, nat = 6, ntyp = 3
/
ATOMIC_SPECIES
Nb 92.91 Nb.upf
Ce 140.12 Ce.upf
Ir 192.22 Ir.upf
CELL_PARAMETERS angstrom
-2.807 -0.232 -4.687
-3.616 -2.625 -0.894
-5.186 4.399 -0.301
ATOMIC_POSITIONS crystal
Nb 0.750 0.500 0.500
Nb 0.250 0.500 0.500
Ce 0.816 0.368 0.000
Ce 0.184 0.632 0.000
Ir 0.625 0.000 0.750
Ir 0.375 0.000 0.250
```


The following is a DFT calculation (PBE-GGA) of Sm3SnGe2Pd9 after structural relaxation. Values from VASP.

Summary:
DOS(E_F)	9.38	states/eV/cell
space-group type	P-3m1 (164)
calculated volume	331	Å³ per cell
formation enthalpy at 0 K	-56.4	kJ/mol of atoms

Cell and atoms, written as Quantum ESPRESSO input:
```
&SYSTEM
  ibrav = 0, nat = 15, ntyp = 4
/
ATOMIC_SPECIES
Sm 150.36 Sm.upf
Sn 118.71 Sn.upf
Ge 72.64 Ge.upf
Pd 106.42 Pd.upf
CELL_PARAMETERS angstrom
5.700 0.000 0.000
-2.850 4.937 0.000
0.000 0.000 11.746
ATOMIC_POSITIONS crystal
Sm 0.333 0.667 0.763
Sm 0.000 0.000 0.000
Sm 0.667 0.333 0.237
Sn 0.000 0.000 0.500
Ge 0.333 0.667 0.163
Ge 0.667 0.333 0.837
Pd 0.836 0.164 0.680
Pd 0.836 0.671 0.680
Pd 0.329 0.164 0.680
Pd 0.671 0.836 0.320
Pd 0.164 0.329 0.320
Pd 0.164 0.836 0.320
Pd 0.500 0.000 0.000
Pd 0.000 0.500 0.000
Pd 0.500 0.500 0.000
```


The following is a DFT calculation (PBE-GGA) of MgReI2 after structural relaxation. Values from VASP.

Summary:
DOS(E_F)	4.85	states/eV/cell
space-group type	Fm-3m (225)
distance to the lowest polymorph of the same formula	66	meV per atom
calculated volume	87	Å³ per cell

Cell and atoms, written as Quantum ESPRESSO input:
```
&SYSTEM
  ibrav = 0, nat = 4, ntyp = 3
/
ATOMIC_SPECIES
I 126.90 I.upf
Re 186.21 Re.upf
Mg 24.30 Mg.upf
CELL_PARAMETERS angstrom
3.904 -0.226 3.074
0.644 3.511 3.464
-0.678 -1.093 4.805
ATOMIC_POSITIONS crystal
I 0.250 0.250 0.250
I 0.750 0.750 0.750
Re 0.500 0.500 0.500
Mg 0.000 0.000 0.000
```


The following is a DFT calculation (PBE-GGA) of Dy12Zn6Bi after structural relaxation. Values from VASP.

Summary:
DOS(E_F)	15.58	states/eV/cell
space-group type	Im-3 (204)
calculated volume	507	Å³ per cell
formation enthalpy at 0 K	-21.0	kJ/mol of atoms

Cell and atoms, written as Quantum ESPRESSO input:
```
&SYSTEM
  ibrav = 0, nat = 19, ntyp = 3
/
ATOMIC_SPECIES
Dy 162.50 Dy.upf
Zn 65.41 Zn.upf
Bi 208.98 Bi.upf
CELL_PARAMETERS angstrom
2.530 -0.899 -8.274
2.589 -6.919 4.592
-8.670 0.619 0.330
ATOMIC_POSITIONS crystal
Dy 0.294 0.101 0.807
Dy 0.294 0.487 0.193
Dy 0.706 0.513 0.807
Dy 0.706 0.899 0.193
Dy 0.101 0.807 0.294
Dy 0.487 0.193 0.294
Dy 0.513 0.807 0.706
Dy 0.899 0.193 0.706
Dy 0.807 0.294 0.101
Dy 0.193 0.294 0.487
Dy 0.807 0.706 0.513
Dy 0.193 0.706 0.899
Zn 0.377 0.500 0.877
Zn 0.623 0.500 0.123
Zn 0.500 0.877 0.377
Zn 0.500 0.123 0.623
Zn 0.877 0.377 0.500
Zn 0.123 0.623 0.500
Bi 0.000 0.000 0.000
```


The following is a DFT calculation (PBE-GGA) of Dy4Tm3S8 after structural relaxation. Values from VASP.

Summary:
DOS(E_F)	5.96	states/eV/cell
space-group type	C2/m (12)
calculated volume	327	Å³ per cell
total DFT energy (no corrections)	-95.3	eV for the cell shown

Cell and atoms, written as Quantum ESPRESSO input:
```
&SYSTEM
  ibrav = 0, nat = 15, ntyp = 3
/
ATOMIC_SPECIES
Dy 162.50 Dy.upf
Tm 168.93 Tm.upf
S 32.06 S.upf
CELL_PARAMETERS angstrom
7.739 -0.110 -0.157
-3.776 6.753 0.125
-3.776 -2.227 6.377
ATOMIC_POSITIONS crystal
Dy 0.500 0.000 0.000
Dy 0.000 0.500 0.000
Dy 0.000 0.000 0.000
Dy 0.000 0.000 0.500
Tm 0.500 0.500 0.000
Tm 0.500 0.000 0.500
Tm 0.500 0.500 0.500
S 0.505 0.254 0.254
S 0.000 0.748 0.252
S 0.004 0.254 0.254
S 0.500 0.748 0.252
S 0.500 0.252 0.748
S 0.996 0.746 0.746
S 0.000 0.252 0.748
S 0.495 0.746 0.746
```


The following is a DFT calculation (PBE-GGA) of ScTcPO2 after structural relaxation. Values from VASP.

Summary:
DOS(E_F)	3.21	states/eV/cell
space-group type	P4/mmm (123)
distance to the lowest polymorph of the same formula	0	meV per atom
calculated volume	75	Å³ per cell

Cell and atoms, written as Quantum ESPRESSO input:
```
&SYSTEM
  ibrav = 0, nat = 5, ntyp = 4
/
ATOMIC_SPECIES
Sc 44.96 Sc.upf
P 30.97 P.upf
Tc 98.00 Tc.upf
O 16.00 O.upf
CELL_PARAMETERS angstrom
3.799 0.000 0.000
0.000 3.799 0.000
0.000 0.000 5.205
ATOMIC_POSITIONS crystal
Sc 0.500 0.500 0.500
P 0.000 0.000 0.500
Tc 0.000 0.000 0.000
O 0.000 0.500 0.000
O 0.500 0.000 0.000
```


The following is a DFT calculation (PBE-GGA) of Ba2TbCeS6 after structural relaxation. Values from VASP.

Summary:
DOS(E_F)	27.69	states/eV/cell
space-group type	P2_1/c (14)
calculated volume	578	Å³ per cell
total DFT energy (no corrections)	-114.7	eV for the cell shown

Cell and atoms, written as Quantum ESPRESSO input:
```
&SYSTEM
  ibrav = 0, nat = 20, ntyp = 4
/
ATOMIC_SPECIES
Ba 137.33 Ba.upf
Tb 158.93 Tb.upf
Ce 140.12 Ce.upf
S 32.06 S.upf
CELL_PARAMETERS angstrom
-4.725 5.497 -0.273
-5.756 -4.967 -0.374
-0.595 -0.097 10.446
ATOMIC_POSITIONS crystal
Ba 0.022 0.935 0.249
Ba 0.522 0.565 0.749
Ba 0.978 0.065 0.751
Ba 0.478 0.435 0.251
Tb 0.500 0.000 0.500
Tb 0.000 0.500 0.000
Ce 0.500 0.000 0.000
Ce 0.000 0.500 0.500
S 0.299 0.708 0.048
S 0.799 0.792 0.548
S 0.701 0.292 0.952
S 0.201 0.208 0.452
S 0.298 0.704 0.453
S 0.798 0.796 0.953
S 0.702 0.296 0.547
S 0.202 0.204 0.047
S 0.910 0.524 0.251
S 0.410 0.976 0.751
S 0.090 0.476 0.749
S 0.590 0.024 0.249
```


The following is a DFT calculation (PBE-GGA) of TaCrAs2 after structural relaxation. Values from VASP.

Summary:
DOS(E_F)	9.28	states/eV/cell
space-group type	I-42d (122)
distance to the lowest polymorph of the same formula	441	meV per atom
calculated volume	193	Å³ per cell
formation enthalpy at 0 K	30.0	kJ/mol of atoms

Cell and atoms, written as Quantum ESPRESSO input:
```
&SYSTEM
  ibrav = 0, nat = 8, ntyp = 3
/
ATOMIC_SPECIES
Cr 52.00 Cr.upf
As 74.92 As.upf
Ta 180.95 Ta.upf
CELL_PARAMETERS angstrom
-3.066 -4.137 -2.750
-2.605 -1.414 5.029
-6.948 0.986 0.067
ATOMIC_POSITIONS crystal
Cr 0.500 0.500 0.000
Cr 0.250 0.750 0.500
As 0.623 0.125 0.250
As 0.127 0.625 0.250
As 0.375 0.377 0.750
As 0.875 0.873 0.750
Ta 0.000 0.000 0.000
Ta 0.750 0.250 0.500
```